# 1
{"formula": "Zr2V2SiRu5", "functional": "PBE-GGA", "state": "relaxed", "n_ef_per_ev_cell": 13.55, "e_form_raw_ev_per_atom": -0.326, "sg": "P4/mbm", "cell": [[10.062, 0.000, 0.000], [0.000, 10.062, 0.000], [0.000, 0.000, 3.062]], "species": ["Zr", "Zr", "Zr", "Zr", "V", "V", "V", "V", "Si", "Si", "Ru", "Ru", "Ru", "Ru", "Ru", "Ru", "Ru", "Ru", "Ru", "Ru"], "fractional_positions": [[0.174, 0.326, 0.000], [0.326, 0.826, 0.000], [0.674, 0.174, 0.000], [0.826, 0.674, 0.000], [0.135, 0.635, 0.000], [0.365, 0.135, 0.000], [0.635, 0.865, 0.000], [0.865, 0.365, 0.000], [0.000, 0.000, 0.000], [0.500, 0.500, 0.000], [0.000, 0.500, 0.500], [0.054, 0.806, 0.500], [0.194, 0.054, 0.500], [0.306, 0.554, 0.500], [0.446, 0.306, 0.500], [0.500, 0.000, 0.500], [0.554, 0.694, 0.500], [0.694, 0.446, 0.500], [0.806, 0.946, 0.500], [0.946, 0.194, 0.500]]}


# 2
{"formula": "SiRuW2", "functional": "PBE-GGA", "state": "relaxed", "n_ef_per_ev_cell": 4.65, "e_form_raw_ev_per_atom": 0.129, "sg": "R-3m", "cell": [[1.406, 0.812, 8.719], [-1.406, 0.812, 8.719], [0.000, -1.623, 8.719]], "species": ["Si", "Ru", "W", "W"], "fractional_positions": [[0.000, 0.000, 0.000], [0.500, 0.500, 0.500], [0.251, 0.251, 0.251], [0.749, 0.749, 0.749]]}


# 3
{"formula": "SiRuW", "functional": "PBE-GGA", "state": "relaxed", "n_ef_per_ev_cell": 5.34, "e_form_raw_ev_per_atom": -0.308, "sg": "Pnma", "cell": [[6.248, 0.000, 0.000], [0.000, 3.798, 0.000], [0.000, 0.000, 7.155]], "species": ["Si", "Si", "Si", "Si", "Ru", "Ru", "Ru", "Ru", "W", "W", "W", "W"], "fractional_positions": [[0.233, 0.250, 0.124], [0.267, 0.750, 0.624], [0.733, 0.250, 0.376], [0.767, 0.750, 0.876], [0.148, 0.750, 0.938], [0.352, 0.250, 0.438], [0.648, 0.750, 0.562], [0.852, 0.250, 0.062], [0.023, 0.750, 0.326], [0.477, 0.250, 0.826], [0.523, 0.750, 0.174], [0.977, 0.250, 0.674]]}


# 4
{"formula": "Si2RuW", "functional": "PBE-GGA", "state": "relaxed", "n_ef_per_ev_cell": 3.04, "e_form_raw_ev_per_atom": 0.022, "sg": "Immm", "cell": [[-1.424, 2.479, 4.072], [1.424, -2.479, 4.072], [1.424, 2.479, -4.072]], "species": ["Si", "Si", "Ru", "W"], "fractional_positions": [[0.238, 0.238, 0.000], [0.762, 0.762, 0.000], [0.000, 0.500, 0.500], [0.500, 0.000, 0.500]]}